This record from Alexandria describes crystalline La2Pr4SmTm at its relaxed geometry. The functional is PBE-GGA.

extended XYZ file:
```
8
Lattice="5.2094 0.0000 0.0000 0.0000 5.0811 1.0408 0.0001 2.9897 11.3023" Properties=species:S:1:pos:R:3 pbc="T T T"
La 0.0001 2.9897 11.3023
La 2.6047 1.4948 5.6511
Pr 0.0001 6.0604 9.2336
Pr 5.2094 2.0104 3.1095
Pr 2.6048 4.5561 3.6232
Pr 2.6048 3.5147 8.7199
Sm 2.6047 2.5406 0.5204
Tm 0.0000 4.0354 6.1716
```

Summary:
- space group = P2/m (10)
- crystal system = monoclinic


This record from Alexandria describes crystalline LaPr3Sm6Tm2 at its relaxed geometry. The functional is PBE-GGA.

extended XYZ file:
```
12
Lattice="6.2995 0.0000 0.0131 -3.1483 5.4564 0.0131 -1.0753 -1.8619 11.8990" Properties=species:S:1:pos:R:3 pbc="T T T"
La 0.0000 0.0000 0.0000
Pr -2.1066 3.6134 5.9626
Pr 4.1826 -0.0189 5.9626
Pr 1.0380 1.7972 5.9626
Sm 3.1348 1.7761 8.9836
Sm 2.0907 3.6200 2.9590
Sm -1.0588 1.8184 2.9416
Sm -0.0282 3.6028 8.9836
Sm -0.0147 -0.0255 8.9661
Sm 2.1042 -0.0084 2.9416
Tm 0.0009 3.6376 0.0131
Tm 3.1503 1.8187 0.0131
```

Summary:
- space group = C2/m (12)
- crystal system = monoclinic


This record from Alexandria describes crystalline La4PrSmTm2 at its relaxed geometry. The functional is PBE-GGA.

extended XYZ file:
```
8
Lattice="3.6743 0.0000 0.0000 0.0001 11.8842 -1.6142 0.0000 1.9573 6.0536" Properties=species:S:1:pos:R:3 pbc="T T T"
La 0.0001 10.4485 3.3071
La 3.6743 3.3930 1.1324
La 1.8372 9.4658 0.2923
La 1.8372 4.3756 4.1472
Pr 1.8372 5.9421 -0.8071
Sm 0.0000 6.9206 2.2198
Tm 0.0000 1.9573 6.0536
Tm 1.8372 0.9786 3.0268
```

Summary:
- space group = P2/m (10)
- crystal system = monoclinic


This record from Alexandria describes crystalline LaPr2SmTm5 at its relaxed geometry. The functional is PBE-GGA.

extended XYZ file:
```
18
Lattice="-8.3403 -1.6827 1.6958 2.2050 -7.7923 3.1123 3.8962 7.8219 4.7314" Properties=species:S:1:pos:R:3 pbc="T T T"
La 1.5168 -2.3539 5.1239
La -3.7559 0.7008 4.4157
Pr -0.1451 -3.1733 1.3886
Pr -4.8960 -1.9623 1.4168
Pr -1.2393 -7.5126 3.3913
Pr -5.9902 -6.3017 3.4195
Sm 0.4143 1.5422 3.5677
Sm -2.6534 -3.1953 5.9718
Tm -5.7238 -2.7427 4.2138
Tm -2.2849 3.3768 5.0070
Tm 3.4847 1.0896 5.3257
Tm 1.7066 4.8494 3.9069
Tm -0.5068 -0.3830 6.4257
Tm -3.9457 -6.5025 5.6326
Tm -1.7323 -1.2701 3.1138
Tm 0.0458 -5.0299 4.5325
Tm -3.0676 -4.7375 2.4040
Tm 0.0000 0.0000 0.0000
```

Summary:
- space group = I4/mcm (140)
- crystal system = tetragonal


This record from Alexandria describes crystalline LaPrSm5Tm2 at its relaxed geometry. The functional is PBE-GGA.

extended XYZ file:
```
18
Lattice="5.6857 0.0000 0.0000 -2.8428 10.0620 0.0000 0.0000 0.0000 10.7569" Properties=species:S:1:pos:R:3 pbc="T T T"
La 2.8428 1.6467 10.1974
La 0.0000 8.4152 4.8190
Pr 2.8428 5.9845 5.4901
Pr 0.0000 4.0775 0.1116
Sm 0.0000 7.8506 0.2888
Sm 2.8428 4.3872 8.7134
Sm 0.0000 9.6088 7.9449
Sm 0.0000 5.9550 7.5892
Sm 2.8428 9.7218 5.6721
Sm 2.8428 2.2113 5.6673
Sm 0.0000 5.6747 3.3350
Sm 2.8428 0.4532 2.5665
Sm 2.8428 4.1070 2.2107
Sm 0.0000 0.3402 0.2936
Tm 2.8428 7.7356 8.8474
Tm 0.0000 2.2260 7.9046
Tm 0.0000 2.3263 3.4689
Tm 2.8428 7.8359 2.5262
```

Summary:
- space group = Cmc2_1 (36)
- crystal system = orthorhombic


This record from Alexandria describes crystalline La2Pr3Sm6Tm at its relaxed geometry. The functional is PBE-GGA.

extended XYZ file:
```
12
Lattice="-1.9690 5.2468 -2.9644 -4.2064 -3.8143 2.8198 3.2622 5.7068 10.2018" Properties=species:S:1:pos:R:3 pbc="T T T"
La -3.4605 -0.7935 0.8915
La -2.7149 2.2260 -1.0360
Pr -2.2024 0.5494 6.9566
Pr -0.7109 6.5900 3.1006
Pr -1.4567 3.5697 5.0286
Sm -1.8214 6.8633 6.5924
Sm -3.8244 2.4999 2.4369
Sm -1.0919 0.2761 3.4648
Sm -2.5630 3.8597 8.5097
Sm 0.9111 4.6394 7.6203
Sm -0.3503 3.2796 1.5475
Tm 0.0000 0.0000 0.0000
```

Summary:
- space group = C2/m (12)
- crystal system = monoclinic


This record from Alexandria describes crystalline LaPr2Sm2Tm2 at its relaxed geometry. The functional is PBE-GGA.

extended XYZ file:
```
7
Lattice="-1.2887 3.0768 1.2642 -0.3696 -4.1103 4.5935 9.7371 1.1958 7.0154" Properties=species:S:1:pos:R:3 pbc="T T T"
La 4.8685 0.5979 3.5077
Pr 7.9284 1.7643 8.8211
Pr 0.1503 -1.6020 4.0520
Sm 6.5894 -1.3915 10.1036
Sm 1.4893 1.5538 2.7696
Tm 2.3425 0.5563 6.0670
Tm 5.7362 -0.3940 6.8062
```

Summary:
- space group = C2/m (12)
- crystal system = monoclinic


This record from Alexandria describes crystalline LaPrSmTm at its relaxed geometry. The functional is PBE-GGA.

extended XYZ file:
```
4
Lattice="3.6602 0.0000 0.0000 -1.8301 3.1699 0.0000 0.0000 0.0000 11.8401" Properties=species:S:1:pos:R:3 pbc="T T T"
La 0.0000 2.1132 10.9071
Pr 0.0000 0.0000 5.0762
Sm 1.8301 1.0566 2.0900
Tm 1.8301 1.0566 7.9672
```

Summary:
- relative energy among the computed polymorphs (meV per atom) = 0
- space group = P3m1 (156)
- crystal system = trigonal


This record from Alexandria describes crystalline La4Pr2SmTm2 at its relaxed geometry. The functional is PBE-GGA.

extended XYZ file:
```
9
Lattice="5.2234 0.0000 0.0000 -2.6117 7.8106 0.0427 0.0000 -2.6367 7.7064" Properties=species:S:1:pos:R:3 pbc="T T T"
La 2.6117 2.5601 5.1960
La 0.0000 2.6138 2.5531
La 2.6117 -0.0091 2.5319
La 0.0000 5.1829 5.2172
Pr 2.6117 5.1846 2.5725
Pr 0.0000 -0.0108 5.1765
Sm 0.0000 0.0000 0.0000
Tm 0.0000 5.1856 0.0329
Tm 2.6117 -0.0117 7.7162
```

Summary:
- space group = C2/m (12)
- crystal system = monoclinic


This record from Alexandria describes crystalline La2Pr2SmTm at its relaxed geometry. The functional is PBE-GGA.

extended XYZ file:
```
12
Lattice="-2.2720 5.0577 -1.7220 -4.9982 -3.5156 -3.7311 -6.0200 0.0313 8.0349" Properties=species:S:1:pos:R:3 pbc="T T T"
La -1.1755 2.5021 -0.8873
La -2.3589 -0.9007 0.4670
La -9.6915 0.7756 5.2780
La -8.7370 -2.6383 3.7788
Pr -6.3155 -0.8793 5.7503
Pr -4.4220 1.6335 0.8448
Pr -4.7781 -2.6581 -1.5028
Pr -8.9446 -0.1138 1.6800
Sm -6.3723 1.6442 3.4496
Sm -6.9926 -0.1234 -0.9235
Tm -3.0475 -0.0110 3.9888
Tm -5.5473 -1.7688 2.1241
```

Summary:
- space group = Pmma (51)
- crystal system = orthorhombic


This record from Alexandria describes crystalline La2Pr2SmTm2 at its relaxed geometry. The functional is PBE-GGA.

extended XYZ file:
```
7
Lattice="5.1650 0.0000 0.0000 -2.5825 5.7646 0.2766 0.0000 -1.5584 8.0072" Properties=species:S:1:pos:R:3 pbc="T T T"
La 0.0000 0.9956 3.5126
La 2.5825 3.2106 4.7712
Pr 2.5825 -0.3026 5.8157
Pr 0.0000 4.5088 2.4681
Sm 0.0000 0.0000 0.0000
Tm 2.5825 2.2756 1.2233
Tm 0.0000 1.9306 7.0605
```

Summary:
- space group = C2/m (12)
- crystal system = monoclinic


This record from Alexandria describes crystalline La6PrSm2Tm at its relaxed geometry. The functional is PBE-GGA.

extended XYZ file:
```
10
Lattice="9.0795 0.0000 1.1382 0.0000 7.1502 0.0000 -2.3009 -3.5751 5.2722" Properties=species:S:1:pos:R:3 pbc="T T T"
La 3.2553 3.5751 1.8355
La 0.4213 -1.9288 3.5363
La 6.3573 1.6463 2.8741
La 0.4213 1.9288 3.5363
La 6.3573 5.5039 2.8741
La 3.5233 0.0000 4.5749
Pr 0.0000 3.5751 0.0000
Sm 1.1943 0.0000 1.0571
Sm 5.5842 3.5751 5.3533
Tm 4.5398 0.0000 0.5691
```

Summary:
- space group = C2/m (12)
- crystal system = monoclinic


no.,ΔE_f (kJ/mol of atoms),size of the total moment (μB per formula unit),D(E_F) (states/eV/atom)
1,2,0.00,1.6866
2,2,0.00,1.4778
3,2,0.00,1.3859
4,24,0.00,1.0051
5,15,0.00,1.5468
6,2,0.00,1.4842
7,8,0.00,1.7178
8,3,0.00,1.2235
9,3,0.00,1.8373
10,5,0.00,1.5977
11,3,0.00,1.6397
12,17,0.00,1.8525